Record 1
Material: Np4As6Pd5
Method: DFT, PBE
State: relaxed

Calculated values
The formation energy is -0.5511 eV/atom. Its total energy is -7.593 eV per atom. The value obtained for the volume is 297 Å³/f.u.

Lattice parameters (Å, degrees): 9.8733 9.8733 14.8477 90.00 90.00 155.75
Element x y z (fractional)
Np: 0.0123 0.9877 0.5000
Np: 0.0331 0.9669 0.7740
Np: 0.1642 0.8358 0.3020
Np: 0.1810 0.8190 0.9417
Np: 0.8190 0.1810 0.4417
Np: 0.8358 0.1642 0.8020
Np: 0.9669 0.0331 0.2740
Np: 0.9877 0.0123 0.0000
As: 0.1151 0.8849 0.1150
As: 0.2231 0.7769 0.4840
As: 0.2360 0.7640 0.7634
As: 0.4201 0.5799 0.4135
As: 0.4296 0.5704 0.1281
As: 0.4360 0.5640 0.8538
As: 0.5640 0.4360 0.3538
As: 0.5704 0.4296 0.6281
As: 0.5799 0.4201 0.9135
As: 0.7640 0.2360 0.2634
As: 0.7769 0.2231 0.9840
As: 0.8849 0.1151 0.6150
Pd: 0.1515 0.8485 0.6292
Pd: 0.3033 0.6967 0.6183
Pd: 0.3447 0.6553 0.2714
Pd: 0.3537 0.6463 0.9836
Pd: 0.4447 0.5553 0.6768
Pd: 0.5553 0.4447 0.1768
Pd: 0.6463 0.3537 0.4836
Pd: 0.6553 0.3447 0.7714
Pd: 0.6967 0.3033 0.1183
Pd: 0.8485 0.1515 0.1292



Record 2
Material: NpAs3Pd5
Method: DFT, PBE
State: relaxed

Calculated values
The formation energy is -0.3732 eV/atom. Its total energy is -6.246 eV per atom. The value obtained for the volume is 165 Å³/f.u.

Lattice parameters (Å, degrees): 7.0013 7.0013 12.2985 90.00 90.00 146.83
Element x y z (fractional)
Np: 0.1170 0.8830 0.7500
Np: 0.8830 0.1170 0.2500
As: 0.1290 0.8710 0.2500
As: 0.3886 0.6114 0.0658
As: 0.3886 0.6114 0.4342
As: 0.6114 0.3886 0.5658
As: 0.6114 0.3886 0.9342
As: 0.8710 0.1290 0.7500
Pd: 0.0000 0.0000 0.0000
Pd: 0.0000 0.0000 0.5000
Pd: 0.2080 0.7920 0.0678
Pd: 0.2080 0.7920 0.4322
Pd: 0.4280 0.5720 0.6391
Pd: 0.4280 0.5720 0.8609
Pd: 0.5720 0.4280 0.1391
Pd: 0.5720 0.4280 0.3609
Pd: 0.7920 0.2080 0.5678
Pd: 0.7920 0.2080 0.9322



Record 3
Material: NpAs2Pd2
Method: DFT, PBE
State: relaxed

Calculated values
The formation energy is -0.4648 eV/atom. Its total energy is -6.990 eV per atom. The calculation puts the energy above the most stable polymorph in this dataset at 0 meV per atom. The value obtained for the volume is 94 Å³/f.u.

Lattice parameters (Å, degrees): 6.2712 6.2689 4.1056 70.92 70.86 38.22
Element x y z (fractional)
Np: 0.0000 0.0000 0.0000
As: 0.3866 0.3866 0.6134
As: 0.6134 0.6134 0.3866
Pd: 0.2500 0.2500 0.2500
Pd: 0.7500 0.7500 0.7500



Record 4
Material: Np3As4Pd7
Method: DFT, PBE
State: relaxed

Calculated values
The formation energy is -0.5411 eV/atom. Its total energy is -7.239 eV per atom. The value obtained for the volume is 256 Å³/f.u.

Lattice parameters (Å, degrees): 8.0768 8.0768 9.7125 123.85 123.85 29.60
Element x y z (fractional)
Np: 0.0000 0.0000 0.0000
Np: 0.3168 0.3168 0.3203
Np: 0.6832 0.6832 0.6797
As: 0.1063 0.1063 0.8232
As: 0.3451 0.3451 0.7557
As: 0.6549 0.6549 0.2443
As: 0.8937 0.8937 0.1768
Pd: 0.0000 0.0000 0.5000
Pd: 0.1678 0.1678 0.4371
Pd: 0.3122 0.3122 0.9831
Pd: 0.4856 0.4856 0.6957
Pd: 0.5144 0.5144 0.3043
Pd: 0.6878 0.6878 0.0169
Pd: 0.8322 0.8322 0.5629